(1)
Density functional theory data (GGA-PBE) for an optimized crystal structure of BaGaP2S.

abc: 6.088 6.088 5.808
angles: 90.00 90.00 90.00
Space group P4/mmm (No. 123)
Asymmetric unit:
Ba  0.000  0.000  0.000 [1 per cell]
Ga  0.500  0.500  0.500 [1 per cell]
P  0.000  0.500  0.000 [2 per cell]
S  0.000  0.000  0.500 [1 per cell]

Uncorrected formation energy: 4.746 eV per formula unit
Total energy: -15.15 eV/cell
N(E_F): 0.941 states/eV/atom
Offset from the most stable computed form: 1187 meV/atom

(2)
Density functional theory data (GGA-PBE) for an optimized crystal structure of LiLa2AlAs.

abc: 5.538 5.538 4.254
angles: 90.00 90.00 90.00
Space group P4/mmm (No. 123)
Asymmetric unit:
Li  0.000  0.000  0.000 [1 per cell]
La  0.000  0.500  0.000 [2 per cell]
Al  0.500  0.500  0.500 [1 per cell]
As  0.000  0.000  0.500 [1 per cell]

Total energy: -20.77 eV/cell
N(E_F): 1.157 states/eV/atom
Formation energy from the elements: -12 kJ per mole of atoms

(3)
Density functional theory data (GGA-PBE) for an optimized crystal structure of DyZrS4.

abc: 8.821 8.917 3.891
angles: 90.00 90.00 90.00
Space group Cmmm (No. 65)
Asymmetric unit:
Dy  0.000  0.000  0.000 [2 per cell]
Zr  0.000  0.500  0.500 [2 per cell]
S  0.000  0.309  0.000 [4 per cell]
S  0.211  0.000  0.500 [4 per cell]

Uncorrected formation energy: -8.252 eV per formula unit
Total energy: -75.82 eV/cell
N(E_F): 0.947 states/eV/atom

(4)
Density functional theory data (GGA-PBE) for an optimized crystal structure of Ga5NiRh6.

abc: 4.264 6.062 12.816
angles: 90.00 90.00 90.00
Space group Immm (No. 71)
Asymmetric unit:
Ga  0.000  0.000  0.000 [2 per cell]
Ga  0.000  0.000  0.341 [4 per cell]
Ga  0.000  0.500  0.332 [4 per cell]
Ni  0.000  0.500  0.000 [2 per cell]
Rh  0.000  0.248  0.168 [8 per cell]
Rh  0.000  0.256  0.500 [4 per cell]

Total energy: -144.44 eV/cell
N(E_F): 0.654 states/eV/atom
Formation energy from the elements: -58 kJ per mole of atoms